Compound: Li2LuMgGa2Cu2
Source: OQMD via LeMat-Bulk
Functional: GGA-PBE
Structure: optimized geometry

Cell: 4.4106 4.4106 6.2742 Å, 90.00 90.00 90.00°
With the nearest neighbours (Å) after each atom.
Space group P-4m2 (No. 115)
Symmetry-distinct sites (fractional):
Li (0.0000, 0.5000, 0.2273) [2 per cell]  2 Mg 2.63, 4 Ga 2.63-2.79, 2 Lu 2.79, 1 Cu 2.93
Lu (0.5000, 0.5000, 0.5000) [1 per cell]  4 Cu 2.74, 4 Li 2.79
Mg (0.0000, 0.0000, 0.0000) [1 per cell]  4 Li 2.63, 4 Cu 2.67
Ga (0.0000, 0.0000, 0.5000) [1 per cell]  4 Cu 2.74, 4 Li 2.79
Ga (0.5000, 0.5000, 0.0000) [1 per cell]  4 Li 2.63, 4 Cu 2.67
Cu (0.0000, 0.5000, 0.7596) [2 per cell]  4 Ga 2.67-2.74, 2 Mg 2.67, 2 Lu 2.74, 1 Li 2.93

Results
raw total energy: -0.235 Ry per atom


Compound: Li2LuScGa2Cu2
Source: OQMD via LeMat-Bulk
Functional: GGA-PBE
Structure: optimized geometry

Cell: 4.4138 4.4138 6.2432 Å, 90.00 90.00 90.00°
With the nearest neighbours (Å) after each atom.
Space group P-4m2 (No. 115)
Symmetry-distinct sites (fractional):
Li (0.0000, 0.5000, 0.2422) [2 per cell]  2 Sc 2.68, 4 Ga 2.68-2.73, 2 Lu 2.73
Lu (0.5000, 0.5000, 0.5000) [1 per cell]  4 Cu 2.73, 4 Li 2.73
Sc (0.0000, 0.0000, 0.0000) [1 per cell]  4 Li 2.68, 4 Cu 2.68
Ga (0.0000, 0.0000, 0.5000) [1 per cell]  4 Cu 2.73, 4 Li 2.73
Ga (0.5000, 0.5000, 0.0000) [1 per cell]  4 Li 2.68, 4 Cu 2.68
Cu (0.0000, 0.5000, 0.7577) [2 per cell]  4 Ga 2.68-2.73, 2 Sc 2.68, 2 Lu 2.73

Results
raw total energy: -0.287 Ry per atom


Compound: Li4MgGaCu2
Source: OQMD via LeMat-Bulk
Functional: GGA-PBE
Structure: optimized geometry

Cell: 4.3284 4.3284 6.1634 Å, 90.00 90.00 90.00°
With the nearest neighbours (Å) after each atom.
Space group P-4m2 (No. 115)
Symmetry-distinct sites (fractional):
Li (0.0000, 0.0000, 0.0000) [1 per cell]  4 Li 2.73, 4 Cu 2.73
Li (0.0000, 0.5000, 0.7305) [2 per cell]  4 Li 2.59-2.73, 2 Ga 2.59, 2 Mg 2.73, 1 Cu 2.83
Li (0.5000, 0.5000, 0.5000) [1 per cell]  4 Cu 2.58, 4 Li 2.59
Mg (0.5000, 0.5000, 0.0000) [1 per cell]  4 Li 2.73, 4 Cu 2.73
Ga (0.0000, 0.0000, 0.5000) [1 per cell]  4 Cu 2.58, 4 Li 2.59
Cu (0.0000, 0.5000, 0.2712) [2 per cell]  5 Li 2.58-2.83, 2 Ga 2.58, 2 Mg 2.73

Results
raw total energy: -0.191 Ry per atom


Compound: Li2Mg2Ga2CuPd
Source: OQMD via LeMat-Bulk
Functional: GGA-PBE
Structure: optimized geometry

Cell: 4.3878 4.3878 6.2071 Å, 90.00 90.00 90.00°
With the nearest neighbours (Å) after each atom.
Space group P-4m2 (No. 115)
Symmetry-distinct sites (fractional):
Li (0.0000, 0.0000, 0.0000) [1 per cell]  4 Ga 2.68, 4 Mg 2.68
Li (0.5000, 0.5000, 0.5000) [1 per cell]  4 Mg 2.69, 4 Ga 2.69
Mg (0.0000, 0.5000, 0.2487) [2 per cell]  4 Li 2.68-2.69, 2 Cu 2.68, 2 Pd 2.69
Ga (0.0000, 0.5000, 0.7519) [2 per cell]  4 Li 2.68-2.69, 2 Cu 2.68, 2 Pd 2.69
Cu (0.5000, 0.5000, 0.0000) [1 per cell]  4 Ga 2.68, 4 Mg 2.68
Pd (0.0000, 0.0000, 0.5000) [1 per cell]  4 Mg 2.69, 4 Ga 2.69

Results
raw total energy: -0.231 Ry per atom


Compound: Li2MgScGa2Cu2
Source: OQMD via LeMat-Bulk
Functional: GGA-PBE
Structure: optimized geometry

Cell: 4.3755 4.3755 6.1613 Å, 90.00 90.00 90.00°
With the nearest neighbours (Å) after each atom.
Space group P-4m2 (No. 115)
Symmetry-distinct sites (fractional):
Li (0.0000, 0.5000, 0.2379) [2 per cell]  2 Mg 2.63, 4 Ga 2.63-2.72, 2 Sc 2.72
Mg (0.0000, 0.0000, 0.0000) [1 per cell]  4 Li 2.63, 4 Cu 2.67
Sc (0.5000, 0.5000, 0.5000) [1 per cell]  4 Cu 2.68, 4 Li 2.72
Ga (0.0000, 0.0000, 0.5000) [1 per cell]  4 Cu 2.68, 4 Li 2.72
Ga (0.5000, 0.5000, 0.0000) [1 per cell]  4 Li 2.63, 4 Cu 2.67
Cu (0.0000, 0.5000, 0.7505) [2 per cell]  2 Mg 2.67, 4 Ga 2.67-2.68, 2 Sc 2.68

Results
raw total energy: -0.254 Ry per atom


Compound: Li2YMgGa2Cu2
Source: OQMD via LeMat-Bulk
Functional: GGA-PBE
Structure: optimized geometry

Cell: 4.4495 4.4495 6.3954 Å, 90.00 90.00 90.00°
With the nearest neighbours (Å) after each atom.
Space group P-4m2 (No. 115)
Symmetry-distinct sites (fractional):
Li (0.0000, 0.5000, 0.2237) [2 per cell]  2 Mg 2.65, 4 Ga 2.65-2.84, 2 Y 2.84, 1 Cu 2.91
Y (0.5000, 0.5000, 0.5000) [1 per cell]  4 Cu 2.81, 4 Li 2.84, 4 Ga 3.15
Mg (0.0000, 0.0000, 0.0000) [1 per cell]  4 Li 2.65, 4 Cu 2.67
Ga (0.0000, 0.0000, 0.5000) [1 per cell]  4 Cu 2.81, 4 Li 2.84, 4 Y 3.15
Ga (0.5000, 0.5000, 0.0000) [1 per cell]  4 Li 2.65, 4 Cu 2.67
Cu (0.0000, 0.5000, 0.7685) [2 per cell]  4 Ga 2.67-2.81, 2 Mg 2.67, 2 Y 2.81, 1 Li 2.91

Results
raw total energy: -0.253 Ry per atom


Compound: Li2Mg2ZnGaCu2
Source: OQMD via LeMat-Bulk
Functional: GGA-PBE
Structure: optimized geometry

Cell: 4.3547 4.3547 6.1582 Å, 90.00 90.00 90.00°
With the nearest neighbours (Å) after each atom.
Space group P-4m2 (No. 115)
Symmetry-distinct sites (fractional):
Li (0.0000, 0.5000, 0.2494) [2 per cell]  4 Mg 2.66-2.67, 2 Zn 2.66, 2 Ga 2.67
Mg (0.0000, 0.0000, 0.0000) [1 per cell]  4 Li 2.66, 4 Cu 2.67
Mg (0.5000, 0.5000, 0.5000) [1 per cell]  4 Cu 2.66, 4 Li 2.67
Zn (0.5000, 0.5000, 0.0000) [1 per cell]  4 Li 2.66, 4 Cu 2.67
Ga (0.0000, 0.0000, 0.5000) [1 per cell]  4 Cu 2.66, 4 Li 2.67
Cu (0.0000, 0.5000, 0.7492) [2 per cell]  4 Mg 2.66-2.67, 2 Ga 2.66, 2 Zn 2.67

Results
raw total energy: -0.186 Ry per atom


Compound: Li2MgZnGa2Cu2
Source: OQMD via LeMat-Bulk
Functional: GGA-PBE
Structure: optimized geometry

Cell: 4.2680 4.2680 6.0636 Å, 90.00 90.00 90.00°
With the nearest neighbours (Å) after each atom.
Space group P-4m2 (No. 115)
Symmetry-distinct sites (fractional):
Li (0.0000, 0.5000, 0.2377) [2 per cell]  2 Zn 2.58, 4 Ga 2.58-2.66, 2 Mg 2.66
Mg (0.5000, 0.5000, 0.5000) [1 per cell]  4 Cu 2.65, 4 Li 2.66
Zn (0.0000, 0.0000, 0.0000) [1 per cell]  4 Li 2.58, 4 Cu 2.59
Ga (0.0000, 0.0000, 0.5000) [1 per cell]  4 Cu 2.65, 4 Li 2.66
Ga (0.5000, 0.5000, 0.0000) [1 per cell]  4 Li 2.58, 4 Cu 2.59
Cu (0.0000, 0.5000, 0.7590) [2 per cell]  2 Zn 2.59, 4 Ga 2.59-2.65, 2 Mg 2.65

Results
raw total energy: -0.201 Ry per atom


Compound: LiGaCuMo
Source: OQMD via LeMat-Bulk
Functional: GGA-PBE
Structure: optimized geometry

Cell: 6.0391 6.0391 6.0391 Å, 90.00 90.00 90.00°
With the nearest neighbours (Å) after each atom.
Space group F-43m (No. 216)
Symmetry-distinct sites (fractional):
Li (0.0000, 0.0000, 0.0000) [4 per cell]  4 Cu 2.62, 4 Mo 2.62
Ga (0.0000, 0.0000, 0.5000) [4 per cell]  4 Mo 2.62, 4 Cu 2.62
Cu (0.2500, 0.2500, 0.7500) [4 per cell]  4 Ga 2.62, 4 Li 2.62
Mo (0.2500, 0.2500, 0.2500) [4 per cell]  4 Li 2.62, 4 Ga 2.62

Results
raw total energy: -0.342 Ry per atom


Compound: LiGaCuMo
Source: OQMD via LeMat-Bulk
Functional: GGA-PBE
Structure: optimized geometry

Cell: 6.0291 6.0291 6.0291 Å, 90.00 90.00 90.00°
With the nearest neighbours (Å) after each atom.
Space group F-43m (No. 216)
Symmetry-distinct sites (fractional):
Li (0.0000, 0.0000, 0.0000) [4 per cell]  4 Mo 2.61, 4 Ga 2.61
Ga (0.2500, 0.2500, 0.2500) [4 per cell]  4 Li 2.61, 4 Cu 2.61
Cu (0.0000, 0.0000, 0.5000) [4 per cell]  4 Mo 2.61, 4 Ga 2.61
Mo (0.2500, 0.2500, 0.7500) [4 per cell]  4 Li 2.61, 4 Cu 2.61

Results
raw total energy: -0.339 Ry per atom


Compound: Li4GaCuNi2
Source: OQMD via LeMat-Bulk
Functional: GGA-PBE
Structure: optimized geometry

Cell: 4.1334 4.1334 5.7679 Å, 90.00 90.00 90.00°
With the nearest neighbours (Å) after each atom.
Space group P-4m2 (No. 115)
Symmetry-distinct sites (fractional):
Li (0.0000, 0.0000, 0.0000) [1 per cell]  4 Li 2.49, 4 Ni 2.54
Li (0.0000, 0.5000, 0.2395) [2 per cell]  4 Li 2.49-2.56, 2 Cu 2.49, 2 Ga 2.56
Li (0.5000, 0.5000, 0.5000) [1 per cell]  4 Ni 2.50, 4 Li 2.56
Ga (0.0000, 0.0000, 0.5000) [1 per cell]  4 Ni 2.50, 4 Li 2.56
Cu (0.5000, 0.5000, 0.0000) [1 per cell]  4 Li 2.49, 4 Ni 2.54
Ni (0.0000, 0.5000, 0.7434) [2 per cell]  4 Li 2.50-2.54, 2 Ga 2.50, 2 Cu 2.54

Results
raw total energy: -0.246 Ry per atom


Compound: Li4Ga2CuNi
Source: OQMD via LeMat-Bulk
Functional: GGA-PBE
Structure: optimized geometry

Cell: 4.1773 4.1773 5.9071 Å, 90.00 90.00 90.00°
With the nearest neighbours (Å) after each atom.
Space group P-4m2 (No. 115)
Symmetry-distinct sites (fractional):
Li (0.0000, 0.0000, 0.0000) [1 per cell]  4 Li 2.56, 4 Ga 2.60
Li (0.0000, 0.5000, 0.7484) [2 per cell]  4 Li 2.55-2.56, 2 Ni 2.55, 2 Cu 2.56
Li (0.5000, 0.5000, 0.5000) [1 per cell]  4 Ga 2.52, 4 Li 2.55
Ga (0.0000, 0.5000, 0.2612) [2 per cell]  4 Li 2.52-2.60, 2 Ni 2.52, 2 Cu 2.60
Cu (0.5000, 0.5000, 0.0000) [1 per cell]  4 Li 2.56, 4 Ga 2.60
Ni (0.0000, 0.0000, 0.5000) [1 per cell]  4 Ga 2.52, 4 Li 2.55

Results
raw total energy: -0.231 Ry per atom


Compound: Li2Zn2Ga2CuNi
Source: OQMD via LeMat-Bulk
Functional: GGA-PBE
Structure: optimized geometry

Cell: 4.1874 4.1874 5.9432 Å, 90.00 90.00 90.00°
With the nearest neighbours (Å) after each atom.
Space group P-4m2 (No. 115)
Symmetry-distinct sites (fractional):
Li (0.0000, 0.0000, 0.0000) [1 per cell]  4 Ga 2.53, 4 Zn 2.54
Li (0.5000, 0.5000, 0.5000) [1 per cell]  4 Zn 2.59, 4 Ga 2.61
Zn (0.0000, 0.5000, 0.2433) [2 per cell]  4 Li 2.54-2.59, 2 Ni 2.54, 2 Cu 2.59
Ga (0.0000, 0.5000, 0.7610) [2 per cell]  4 Li 2.53-2.61, 2 Ni 2.53, 2 Cu 2.61
Cu (0.0000, 0.0000, 0.5000) [1 per cell]  4 Zn 2.59, 4 Ga 2.61
Ni (0.5000, 0.5000, 0.0000) [1 per cell]  4 Ga 2.53, 4 Zn 2.54

Results
raw total energy: -0.220 Ry per atom